(1)
VASP calculation (PBE) on a relaxed ZrNi2Mo crystal.

Computed properties:
Its formation energy from the elements is -0.4 eV/f.u. The electronic total energy comes out at -31.33 eV per cell.

Geometry as CIF:
```
data_ZrNi2Mo
_chemical_formula_sum 'Zr1 Ni2 Mo1'
_cell_length_a 2.816
_cell_length_b 4.340
_cell_length_c 4.844
_cell_angle_alpha 90.00
_cell_angle_beta 95.41
_cell_angle_gamma 90.00
_symmetry_space_group_name_H-M 'P 1 m 1'
_symmetry_Int_Tables_number 6
loop_
_symmetry_equiv_pos_as_xyz
'x,y,z'
'x,-y,z'
loop_
_atom_site_label
_atom_site_type_symbol
_atom_site_fract_x
_atom_site_fract_y
_atom_site_fract_z
Zr1 Zr 0.000 0.000 0.000
Ni1 Ni 0.440 0.000 0.517
Ni2 Ni 0.441 0.500 0.843
Mo1 Mo 0.833 0.500 0.389
```

***

(2)
VASP calculation (PBE) on a relaxed ZrNi2Mo crystal.

Computed properties:
Its formation energy from the elements is -0.4 eV/f.u. The electronic total energy comes out at -31.30 eV per cell.

Geometry as CIF:
```
data_ZrNi2Mo
_chemical_formula_sum 'Zr1 Ni2 Mo1'
_cell_length_a 3.794
_cell_length_b 3.931
_cell_length_c 3.943
_cell_angle_alpha 90.00
_cell_angle_beta 90.00
_cell_angle_gamma 90.00
_symmetry_space_group_name_H-M 'P m m m'
_symmetry_Int_Tables_number 47
loop_
_symmetry_equiv_pos_as_xyz
'x,y,z'
'-x,-y,-z'
'-x,-y,z'
'x,y,-z'
'x,-y,-z'
'-x,y,z'
'-x,y,-z'
'x,-y,z'
loop_
_atom_site_label
_atom_site_type_symbol
_atom_site_fract_x
_atom_site_fract_y
_atom_site_fract_z
Zr1 Zr 0.000 0.000 0.000
Ni1 Ni 0.500 0.000 0.500
Ni2 Ni 0.500 0.500 0.000
Mo1 Mo 0.000 0.500 0.500
```

***

(3)
VASP calculation (PBE) on a relaxed Zr4NiMo crystal.

Computed properties:
Its formation energy from the elements is -1.2 eV/f.u. The electronic total energy comes out at -831.44 eV per cell.

Geometry as CIF:
```
data_Zr4NiMo
_chemical_formula_sum 'Zr64 Ni16 Mo16'
_cell_length_a 12.453
_cell_length_b 12.453
_cell_length_c 12.453
_cell_angle_alpha 90.00
_cell_angle_beta 90.00
_cell_angle_gamma 90.00
_symmetry_space_group_name_H-M 'F -4 3 m'
_symmetry_Int_Tables_number 216
_symmetry_space_group_name_Hall 'F -4 2 3'
loop_
_atom_site_label
_atom_site_type_symbol
_atom_site_fract_x
_atom_site_fract_y
_atom_site_fract_z
Zr1 Zr 0.000 0.000 0.185
Zr2 Zr 0.047 0.250 0.750
Zr3 Zr 0.102 0.102 0.398
Ni1 Ni 0.109 0.109 0.609
Mo1 Mo 0.168 0.168 0.168
```